No. 1
DFT (GGA-PBE) results for Ce8CoC3Cl4 after structural relaxation.

Output
As for the space group: No. 166.

Geometry as extended XYZ:
```
16
Lattice="3.774 2.179 7.007 -3.774 2.179 7.007 0.000 -4.358 7.007" Properties=species:S:1:pos:R:3 pbc="T T T"
Ce -1.973 -1.139 11.894
Ce 0.000 0.000 4.899
Ce 0.000 -2.278 9.126
Ce -1.973 1.139 9.126
Ce 1.973 -1.139 11.894
Ce 0.000 2.278 11.894
Ce 0.000 0.000 16.122
Ce 1.973 1.139 9.126
Co 0.000 0.000 10.510
C -3.774 0.000 10.510
C -1.887 1.089 3.503
C 1.887 1.089 3.503
Cl 0.000 0.000 0.000
Cl -1.887 -1.089 7.007
Cl -1.887 1.089 14.014
Cl 0.000 2.179 7.007
```



No. 2
DFT (GGA-PBE) results for Ce6C3ClF2 after structural relaxation.

Output
As for the space group: No. 12.

Geometry as extended XYZ:
```
12
Lattice="8.208 -1.842 0.000 8.208 1.842 0.000 -2.053 0.000 7.298" Properties=species:S:1:pos:R:3 pbc="T T T"
Ce -0.410 0.000 1.646
Ce 4.435 0.000 3.114
Ce 3.727 0.000 6.573
Ce 10.637 0.000 0.725
Ce 9.928 0.000 4.184
Ce 14.773 0.000 5.652
C 2.033 0.000 2.414
C 8.208 0.000 0.000
C 12.331 0.000 4.884
Cl 7.182 0.000 3.649
F 1.079 0.000 6.127
F 13.284 0.000 1.171
```



Per-record total DFT energy (no corrections), eV/cell: -104.0 -84.2
Per-record ΔE_f (raw), meV per atom: -900 -1276
Per-record magnetic moment, μB per formula unit: 5.54 0.42